Computed, not measured: a relaxed structure of PrGe2Au6 at the GGA-PBE level of DFT.

Computed properties:
Energy above the lowest structure with this stoichiometry ... 0.000 eV/atom
E_form ... -0.2972 eV/atom
E_tot ... -4.039 eV per atom

Unit cell a=4.502 b=4.502 c=8.839 alpha=90.00 beta=90.00 gamma=90.00
Space group P4/mmm (No. 123)
Unique sites:
Pr: 0.000 0.000 0.000 x1
Ge: 0.500 0.500 0.140 x2
Au: 0.000 0.000 0.500 x1
Au: 0.000 0.500 0.285 x4
Au: 0.500 0.500 0.500 x1



Computed, not measured: a relaxed structure of Pr2GeAu at the GGA-PBE level of DFT.

Computed properties:
E_form ... -0.7671 eV/atom
E_tot ... -5.131 eV per atom

Unit cell a=6.161 b=4.495 c=8.371 alpha=90.00 beta=111.21 gamma=90.00
Space group P2_1/m (No. 11)
Unique sites:
Pr: 0.220 0.250 0.425 x2
Pr: 0.222 0.250 0.932 x2
Ge: 0.323 0.750 0.707 x2
Au: 0.345 0.750 0.210 x2



Computed, not measured: a relaxed structure of Pr5Ge2Au at the GGA-PBE level of DFT.

Computed properties:
E_form ... -0.6283 eV/atom
E_tot ... -5.180 eV per atom

Unit cell a=7.846 b=7.846 c=14.912 alpha=90.00 beta=90.00 gamma=90.00
Space group I4/mcm (No. 140)
Unique sites:
Pr: 0.000 0.000 0.000 x4
Pr: 0.173 0.327 0.144 x16
Ge: 0.123 0.377 0.500 x8
Au: 0.000 0.000 0.250 x4



Computed, not measured: a relaxed structure of PrGe2Au10 at the GGA-PBE level of DFT.

Computed properties:
E_form ... -0.1530 eV/atom
E_tot ... -3.752 eV per atom

Unit cell a=5.977 b=12.903 c=13.463 alpha=90.00 beta=90.00 gamma=90.00
Space group Fmmm (No. 69)
Unique sites:
Pr: 0.000 0.000 0.000 x4
Ge: 0.250 0.000 0.250 x8
Au: 0.000 0.108 0.390 x16
Au: 0.000 0.167 0.170 x16
Au: 0.250 0.250 0.000 x8



Computed, not measured: a relaxed structure of PrGeAu at the GGA-PBE level of DFT.

Computed properties:
E_form ... -0.8288 eV/atom
E_tot ... -5.054 eV per atom

Unit cell a=4.5200 b=4.5200 c=7.9297 alpha=90.00 beta=90.00 gamma=120.00
Space group P6_3mc (No. 186)
Unique sites:
Pr: 0.0000 0.0000 0.0000 x2
Ge: 0.3333 0.6667 0.2179 x2
Au: 0.3333 0.6667 0.7685 x2



Computed, not measured: a relaxed structure of PrGe2Au4 at the GGA-PBE level of DFT.

Computed properties:
Energy above the lowest structure with this stoichiometry ... 0.000 eV/atom
E_form ... -0.4022 eV/atom
E_tot ... -4.277 eV per atom

Unit cell a=4.525 b=13.974 c=4.515 alpha=90.00 beta=90.00 gamma=90.00
Space group Cmmm (No. 65)
Unique sites:
Pr: 0.000 0.000 0.000 x2
Ge: 0.000 0.411 0.500 x4
Au: 0.000 0.177 0.500 x4
Au: 0.000 0.320 0.000 x4



Computed, not measured: a relaxed structure of PrGeAu4 at the GGA-PBE level of DFT.

Computed properties:
Energy above the lowest structure with this stoichiometry ... 0.000 eV/atom
E_form ... -0.3612 eV/atom
E_tot ... -4.112 eV per atom

Unit cell a=5.138 b=14.121 c=7.270 alpha=90.00 beta=90.00 gamma=90.00
Space group Cmcm (No. 63)
Unique sites:
Pr: 0.000 0.117 0.250 x4
Ge: 0.000 0.368 0.250 x4
Au: 0.000 0.097 0.750 x4
Au: 0.000 0.287 0.563 x8
Au: 0.000 0.500 0.000 x4



Computed, not measured: a relaxed structure of Pr3Ge3Au at the GGA-PBE level of DFT.

Computed properties:
E_form ... -0.7862 eV/atom
E_tot ... -5.282 eV per atom

Unit cell a=4.208 b=4.439 c=19.011 alpha=90.00 beta=90.00 gamma=90.00
Space group Imm2 (No. 44)
Unique sites:
Pr: 0.000 0.000 0.000 x2
Pr: 0.000 0.000 0.366 x2
Pr: 0.000 0.500 0.688 x2
Ge: 0.000 0.000 0.534 x2
Ge: 0.000 0.000 0.834 x2
Ge: 0.000 0.500 0.249 x2
Au: 0.000 0.500 0.117 x2



Computed, not measured: a relaxed structure of Pr2GeAu at the GGA-PBE level of DFT.

Computed properties:
E_form ... -0.6743 eV/atom
E_tot ... -5.038 eV per atom

Unit cell a=4.4202 b=4.4202 c=21.0678 alpha=90.00 beta=90.00 gamma=120.00
Space group R-3m (No. 166, hexagonal axes)
Unique sites:
Pr: 0.0000 0.0000 0.2443 x6
Ge: 0.0000 0.0000 0.5000 x3
Au: 0.0000 0.0000 0.0000 x3



Computed, not measured: a relaxed structure of PrGe3Au3 at the GGA-PBE level of DFT.

Computed properties:
E_form ... -0.0698 eV/atom
E_tot ... -4.136 eV per atom

Unit cell a=7.061 b=7.061 c=7.061 alpha=90.00 beta=90.00 gamma=90.00
Space group Pm-3n (No. 223)
Unique sites:
Pr: 0.000 0.000 0.000 x2
Ge: 0.000 0.250 0.500 x6
Au: 0.000 0.500 0.250 x6



Computed, not measured: a relaxed structure of PrGe2Pt5Au at the GGA-PBE level of DFT.

Computed properties:
E_form ... -0.4734 eV/atom
E_tot ... -5.751 eV per atom

Unit cell a=4.214 b=4.214 c=9.335 alpha=90.00 beta=90.00 gamma=90.00
Space group P4/mmm (No. 123)
Unique sites:
Pr: 0.000 0.000 0.000 x1
Ge: 0.500 0.500 0.371 x2
Pt: 0.000 0.500 0.233 x4
Pt: 0.500 0.500 0.000 x1
Au: 0.000 0.000 0.500 x1



Computed, not measured: a relaxed structure of PrGePt2Au2 at the GGA-PBE level of DFT.

Computed properties:
E_form ... -0.1456 eV/atom
E_tot ... -4.818 eV per atom

Unit cell a=5.304 b=5.304 c=10.355 alpha=90.00 beta=90.00 gamma=90.00
Space group I4/mmm (No. 139)
Unique sites:
Pr: 0.000 0.000 0.000 x2
Ge: 0.000 0.000 0.500 x2
Pt: 0.000 0.000 0.276 x4
Au: 0.000 0.500 0.250 x4



Computed, not measured: a relaxed structure of Pr2Ge4Pt3Au at the GGA-PBE level of DFT.

Computed properties:
E_form ... -0.8589 eV/atom
E_tot ... -5.802 eV per atom

Unit cell a=4.431 b=4.431 c=10.129 alpha=90.00 beta=90.00 gamma=90.00
Space group P-4m2 (No. 115)
Unique sites:
Pr: 0.000 0.500 0.248 x2
Ge: 0.000 0.000 0.000 x1
Ge: 0.000 0.500 0.637 x2
Ge: 0.500 0.500 0.000 x1
Pt: 0.000 0.500 0.880 x2
Pt: 0.500 0.500 0.500 x1
Au: 0.000 0.000 0.500 x1



Computed, not measured: a relaxed structure of Pr2Ge4PtAu3 at the GGA-PBE level of DFT.

Computed properties:
E_form ... -0.6259 eV/atom
E_tot ... -5.016 eV per atom

Unit cell a=4.423 b=4.423 c=10.688 alpha=90.00 beta=90.00 gamma=90.00
Space group P-4m2 (No. 115)
Unique sites:
Pr: 0.000 0.500 0.238 x2
Ge: 0.000 0.000 0.500 x1
Ge: 0.000 0.500 0.872 x2
Ge: 0.500 0.500 0.500 x1
Pt: 0.500 0.500 0.000 x1
Au: 0.000 0.000 0.000 x1
Au: 0.000 0.500 0.636 x2



Computed, not measured: a relaxed structure of Pr2PuGe4Au3 at the GGA-PBE level of DFT.

Computed properties:
E_form ... -0.4790 eV/atom
E_tot ... -5.698 eV per atom

Unit cell a=4.458 b=4.458 c=11.563 alpha=90.00 beta=90.00 gamma=90.00
Space group P-4m2 (No. 115)
Unique sites:
Pr: 0.000 0.500 0.235 x2
Pu: 0.000 0.000 0.500 x1
Ge: 0.000 0.000 0.000 x1
Ge: 0.000 0.500 0.658 x2
Ge: 0.500 0.500 0.000 x1
Au: 0.000 0.500 0.876 x2
Au: 0.500 0.500 0.500 x1



Computed, not measured: a relaxed structure of PrPu2Ge2Au2 at the GGA-PBE level of DFT.

Computed properties:
E_form ... -0.4946 eV/atom
E_tot ... -7.528 eV per atom

Unit cell a=4.5822 b=4.5822 c=26.1995 alpha=90.00 beta=90.00 gamma=120.00
Space group R-3m (No. 166, hexagonal axes)
Unique sites:
Pr: 0.0000 0.0000 0.0000 x3
Pu: 0.0000 0.0000 0.1420 x6
Ge: 0.0000 0.0000 0.2621 x6
Au: 0.0000 0.0000 0.4200 x6



Computed, not measured: a relaxed structure of Pr2Ge4Rh3Au at the GGA-PBE level of DFT.

Computed properties:
E_form ... -0.7709 eV/atom
E_tot ... -6.107 eV per atom

Unit cell a=4.343 b=4.343 c=10.194 alpha=90.00 beta=90.00 gamma=90.00
Space group P-4m2 (No. 115)
Unique sites:
Pr: 0.000 0.500 0.240 x2
Ge: 0.000 0.000 0.000 x1
Ge: 0.000 0.500 0.640 x2
Ge: 0.500 0.500 0.000 x1
Rh: 0.000 0.500 0.879 x2
Rh: 0.500 0.500 0.500 x1
Au: 0.000 0.000 0.500 x1



Computed, not measured: a relaxed structure of Pr2Ge4RhAu3 at the GGA-PBE level of DFT.

Computed properties:
E_form ... -0.5975 eV/atom
E_tot ... -5.119 eV per atom

Unit cell a=4.362 b=4.362 c=10.851 alpha=90.00 beta=90.00 gamma=90.00
Space group P-4m2 (No. 115)
Unique sites:
Pr: 0.000 0.500 0.237 x2
Ge: 0.000 0.000 0.500 x1
Ge: 0.000 0.500 0.875 x2
Ge: 0.500 0.500 0.500 x1
Rh: 0.500 0.500 0.000 x1
Au: 0.000 0.000 0.000 x1
Au: 0.000 0.500 0.641 x2



Computed, not measured: a relaxed structure of Pr4GeAuSe2 at the GGA-PBE level of DFT.

Computed properties:
E_tot ... -5.564 eV per atom
Uncorrected formation energy ... -1.3162 eV per atom

Unit cell a=7.389 b=4.295 c=7.591 alpha=90.00 beta=108.75 gamma=90.00
Space group P2/m (No. 10)
Unique sites:
Pr: 0.242 0.000 0.246 x2
Pr: 0.242 0.500 0.747 x2
Ge: 0.000 0.000 0.500 x1
Au: 0.500 0.500 0.500 x1
Se: 0.000 0.500 0.000 x1
Se: 0.500 0.000 0.000 x1



Computed, not measured: a relaxed structure of PrSmGeAu at the GGA-PBE level of DFT.

Computed properties:
Energy above the lowest structure with this stoichiometry ... 0.000 eV/atom
E_form ... -0.7966 eV/atom
E_tot ... -5.145 eV per atom

Unit cell a=4.432 b=4.178 c=11.312 alpha=90.00 beta=90.00 gamma=90.00
Space group Amm2 (No. 38)
Unique sites:
Pr: 0.000 0.000 0.000 x2
Sm: 0.500 0.000 0.723 x2
Ge: 0.000 0.000 0.272 x2
Au: 0.500 0.000 0.438 x2



Computed, not measured: a relaxed structure of PrSmGeAu at the GGA-PBE level of DFT.

Computed properties:
Energy above the lowest structure with this stoichiometry ... 0.078 eV/atom
E_form ... -0.7181 eV/atom
E_tot ... -5.066 eV per atom

Unit cell a=7.407 b=7.407 c=7.407 alpha=90.00 beta=90.00 gamma=90.00
Space group F-43m (No. 216)
Unique sites:
Pr: 0.000 0.000 0.000 x4
Sm: 0.000 0.000 0.500 x4
Ge: 0.250 0.250 0.750 x4
Au: 0.250 0.250 0.250 x4



Computed, not measured: a relaxed structure of Tb2PrGe2Au2 at the GGA-PBE level of DFT.

Computed properties:
E_form ... -0.6160 eV/atom
E_tot ... -4.877 eV per atom

Unit cell a=4.6630 b=4.6630 c=26.0369 alpha=90.00 beta=90.00 gamma=120.00
Space group R-3m (No. 166, hexagonal axes)
Unique sites:
Tb: 0.0000 0.0000 0.1347 x6
Pr: 0.0000 0.0000 0.0000 x3
Ge: 0.0000 0.0000 0.2636 x6
Au: 0.0000 0.0000 0.4304 x6



Computed, not measured: a relaxed structure of Pr4GeTe2Au at the GGA-PBE level of DFT.

Computed properties:
E_tot ... -5.291 eV per atom
Uncorrected formation energy ... -1.1291 eV per atom

Unit cell a=7.644 b=4.406 c=7.831 alpha=90.00 beta=108.58 gamma=90.00
Space group P2/m (No. 10)
Unique sites:
Pr: 0.235 0.000 0.229 x2
Pr: 0.247 0.500 0.765 x2
Ge: 0.000 0.500 0.000 x1
Te: 0.000 0.000 0.500 x1
Te: 0.500 0.500 0.500 x1
Au: 0.500 0.000 0.000 x1



Computed, not measured: a relaxed structure of PrTmGeAu at the GGA-PBE level of DFT.

Computed properties:
E_form ... -0.7042 eV/atom
E_tot ... -4.991 eV per atom

Unit cell a=7.296 b=7.296 c=7.296 alpha=90.00 beta=90.00 gamma=90.00
Space group F-43m (No. 216)
Unique sites:
Pr: 0.000 0.000 0.000 x4
Tm: 0.000 0.000 0.500 x4
Ge: 0.250 0.250 0.250 x4
Au: 0.250 0.250 0.750 x4